1.
LaAl2Au | PBE | optimized geometry

Theoretical density ... 6809 kg/m3
Total moment ... 0.00 μB/f.u.
Formation enthalpy at 0 K ... -452 meV per atom
Density of states at the Fermi level ... 2.38 states/eV/f.u.

Lattice parameters (Å, degrees): 4.6834 4.6834 4.5047 90.00 90.00 105.82
Last column: nearest neighbours and their distance in Å.
Element x y z (fractional)
La 0.0000 0.0000 0.0000  2 Au 2.82
Al 0.3167 0.6833 0.5000  2 Au 2.64, 1 Al 2.74
Al 0.6833 0.3167 0.5000  2 Au 2.64, 1 Al 2.74
Au 0.5000 0.5000 0.0000  4 Al 2.64, 2 La 2.82

=====

2.
LaAlAu2 | PBE | optimized geometry

Theoretical density ... 10540 kg/m3
Total moment ... 0.00 μB/f.u.
Formation enthalpy at 0 K ... -736 meV per atom
Density of states at the Fermi level ... 3.04 states/eV/f.u.

Lattice parameters (Å, degrees): 8.4352 7.1216 5.8727 90.00 90.00 90.00
Last column: nearest neighbours and their distance in Å.
Element x y z (fractional)
La 0.0537 0.2500 0.1528  6 Au 3.13-3.23, 3 Al 3.25-3.31
La 0.4463 0.7500 0.6528  6 Au 3.13-3.23, 3 Al 3.25-3.31
La 0.5537 0.2500 0.3472  6 Au 3.13-3.23, 3 Al 3.25-3.31
La 0.9463 0.7500 0.8472  6 Au 3.13-3.23, 3 Al 3.25-3.31
Al 0.1148 0.7500 0.3501  6 Au 2.67-2.84
Al 0.3852 0.2500 0.8501  6 Au 2.67-2.84
Al 0.6148 0.7500 0.1499  6 Au 2.67-2.84
Al 0.8852 0.2500 0.6499  6 Au 2.67-2.84
Au 0.1750 0.0486 0.6146  3 Al 2.67-2.84, 1 Au 2.87
Au 0.1750 0.4514 0.6146  3 Al 2.67-2.84, 1 Au 2.87
Au 0.3250 0.5486 0.1146  3 Al 2.67-2.84, 1 Au 2.87
Au 0.3250 0.9514 0.1146  3 Al 2.67-2.84, 1 Au 2.87
Au 0.6750 0.0486 0.8854  3 Al 2.67-2.84, 1 Au 2.87
Au 0.6750 0.4514 0.8854  3 Al 2.67-2.84, 1 Au 2.87
Au 0.8250 0.5486 0.3854  3 Al 2.67-2.84, 1 Au 2.87
Au 0.8250 0.9514 0.3854  3 Al 2.67-2.84, 1 Au 2.87

=====

3.
LaAlAu2 | PBE | optimized geometry

Theoretical density ... 8651 kg/m3
Total moment ... 0.00 μB/f.u.
Formation enthalpy at 0 K ... -453 meV per atom
Density of states at the Fermi level ... 3.32 states/eV/f.u.

Lattice parameters (Å, degrees): 9.0952 9.0952 9.0952 147.63 147.63 46.43
Last column: nearest neighbours and their distance in Å.
Element x y z (fractional)
La 0.0000 0.0000 0.0000  4 Au 3.07
La 0.7500 0.2500 0.5000  4 Au 3.07
Al 0.2500 0.7500 0.5000  4 Au 2.53
Al 0.5000 0.5000 0.0000  4 Au 2.53
Au 0.2428 0.6250 0.1178  2 Al 2.53
Au 0.3750 0.4928 0.6178  2 Al 2.53
Au 0.5072 0.1250 0.8822  2 Al 2.53
Au 0.8750 0.7572 0.3822  2 Al 2.53

=====

4.
LaAl2Au | PBE | optimized geometry

Theoretical density ... 7266 kg/m3
Total moment ... 0.00 μB/f.u.
Formation enthalpy at 0 K ... -380 meV per atom
Density of states at the Fermi level ... 1.30 states/eV/f.u.

Lattice parameters (Å, degrees): 4.4138 4.4138 4.5731 90.00 90.00 90.00
Last column: nearest neighbours and their distance in Å.
Element x y z (fractional)
La 0.0000 0.0000 0.0000  4 Au 3.12, 8 Al 3.18
Al 0.0000 0.5000 0.5000  4 Al 3.12, 4 La 3.18, 4 Au 3.18
Al 0.5000 0.0000 0.5000  4 Al 3.12, 4 La 3.18, 4 Au 3.18
Au 0.5000 0.5000 0.0000  4 La 3.12, 8 Al 3.18